1.
# SbRhAu2 | the Alexandria database | GGA-PBE | optimized geometry
# Energy relative to the elements, uncorrected   0.32 eV/atom
# Total magnetic moment   0.0017 μB per atom
data_SbRhAu2
_chemical_formula_sum 'Sb1 Rh1 Au2'
_cell_length_a 8.929
_cell_length_b 8.929
_cell_length_c 8.929
_cell_angle_alpha 20.63
_cell_angle_beta 20.63
_cell_angle_gamma 20.63
_space_group_name_H-M_alt 'P 1'
_space_group_IT_number 1
loop_
_space_group_symop_operation_xyz
'x,y,z'
loop_
_atom_site_label
_atom_site_type_symbol
_atom_site_fract_x
_atom_site_fract_y
_atom_site_fract_z
Sb1 Sb 0.000 0.000 0.000
Rh1 Rh 0.500 0.500 0.500
Au1 Au 0.246 0.246 0.246
Au2 Au 0.754 0.754 0.754

=====

2.
# NaMg5Cd7 | the Alexandria database | GGA-PBE | optimized geometry
# Formation energy from the elements   -0.0574 eV per atom
# Total magnetic moment   0.0000 μB per atom
data_NaMg5Cd7
_chemical_formula_sum 'Na1 Mg5 Cd7'
_cell_length_a 7.719
_cell_length_b 7.719
_cell_length_c 7.719
_cell_angle_alpha 133.91
_cell_angle_beta 97.51
_cell_angle_gamma 100.12
_space_group_name_H-M_alt 'P 1'
_space_group_IT_number 1
loop_
_space_group_symop_operation_xyz
'x,y,z'
loop_
_atom_site_label
_atom_site_type_symbol
_atom_site_fract_x
_atom_site_fract_y
_atom_site_fract_z
Na1 Na 0.000 0.000 0.000
Mg1 Mg 0.001 0.499 0.005
Mg2 Mg 0.001 0.995 0.502
Mg3 Mg 0.493 0.499 0.498
Mg4 Mg 0.493 0.995 0.995
Mg5 Mg 0.777 0.277 0.500
Cd1 Cd 0.206 0.495 0.712
Cd2 Cd 0.213 0.713 0.500
Cd3 Cd 0.349 0.349 0.000
Cd4 Cd 0.350 0.001 0.349
Cd5 Cd 0.651 0.001 0.651
Cd6 Cd 0.661 0.661 0.000
Cd7 Cd 0.783 0.495 0.288

=====

3.
# In2IrRu | the Alexandria database | GGA-PBE | optimized geometry
# Formation energy from the elements   0.1841 eV per atom
# Total magnetic moment   0.0000 μB per atom
data_In2IrRu
_chemical_formula_sum 'In2 Ir1 Ru1'
_cell_length_a 4.683
_cell_length_b 4.683
_cell_length_c 5.284
_cell_angle_alpha 100.60
_cell_angle_beta 100.60
_cell_angle_gamma 38.00
_space_group_name_H-M_alt 'P 1'
_space_group_IT_number 1
loop_
_space_group_symop_operation_xyz
'x,y,z'
loop_
_atom_site_label
_atom_site_type_symbol
_atom_site_fract_x
_atom_site_fract_y
_atom_site_fract_z
In1 In 0.249 0.249 0.248
In2 In 0.751 0.751 0.752
Ir1 Ir 0.000 0.000 0.500
Ru1 Ru 0.500 0.500 0.000

=====

4.
# Sb2S4O15 | the Alexandria database | GGA-PBE | optimized geometry
# Energy relative to the elements, uncorrected   -1.26 eV/atom
# Total magnetic moment   0.0000 μB per atom
data_Sb2S4O15
_chemical_formula_sum 'Sb8 S16 O60'
_cell_length_a 9.515
_cell_length_b 7.265
_cell_length_c 18.810
_cell_angle_alpha 90.00
_cell_angle_beta 109.42
_cell_angle_gamma 90.00
_space_group_name_H-M_alt 'P 1'
_space_group_IT_number 1
loop_
_space_group_symop_operation_xyz
'x,y,z'
loop_
_atom_site_label
_atom_site_type_symbol
_atom_site_fract_x
_atom_site_fract_y
_atom_site_fract_z
Sb1 Sb 0.026 0.165 0.142
Sb2 Sb 0.026 0.335 0.642
Sb3 Sb 0.462 0.647 0.856
Sb4 Sb 0.462 0.853 0.356
Sb5 Sb 0.538 0.147 0.644
Sb6 Sb 0.538 0.353 0.144
Sb7 Sb 0.974 0.665 0.358
Sb8 Sb 0.974 0.835 0.858
S1 S 0.134 0.749 0.224
S2 S 0.134 0.751 0.724
S3 S 0.234 0.062 0.010
S4 S 0.234 0.438 0.510
S5 S 0.244 0.043 0.483
S6 S 0.244 0.457 0.983
S7 S 0.363 0.237 0.770
S8 S 0.363 0.263 0.270
S9 S 0.637 0.737 0.730
S10 S 0.637 0.763 0.230
S11 S 0.756 0.543 0.017
S12 S 0.756 0.957 0.517
S13 S 0.766 0.562 0.490
S14 S 0.766 0.938 0.990
S15 S 0.866 0.249 0.276
S16 S 0.866 0.251 0.776
O1 O 0.024 0.603 0.682
O2 O 0.024 0.897 0.182
O3 O 0.094 0.577 0.185
O4 O 0.094 0.923 0.685
O5 O 0.125 0.589 0.961
O6 O 0.125 0.742 0.304
O7 O 0.125 0.758 0.804
O8 O 0.125 0.911 0.461
O9 O 0.152 0.235 0.484
O10 O 0.152 0.265 0.984
O11 O 0.158 0.508 0.559
O12 O 0.158 0.992 0.059
O13 O 0.197 0.541 0.438
O14 O 0.197 0.959 0.938
O15 O 0.207 0.197 0.256
O16 O 0.207 0.303 0.756
O17 O 0.288 0.686 0.735
O18 O 0.288 0.814 0.235
O19 O 0.332 0.070 0.434
O20 O 0.332 0.430 0.934
O21 O 0.338 0.015 0.564
O22 O 0.338 0.485 0.064
O23 O 0.378 0.228 0.691
O24 O 0.378 0.272 0.191
O25 O 0.392 0.096 0.043
O26 O 0.392 0.404 0.543
O27 O 0.398 0.066 0.810
O28 O 0.398 0.434 0.310
O29 O 0.470 0.114 0.312
O30 O 0.470 0.386 0.812
O31 O 0.530 0.614 0.188
O32 O 0.530 0.886 0.688
O33 O 0.602 0.566 0.690
O34 O 0.602 0.934 0.190
O35 O 0.608 0.596 0.457
O36 O 0.608 0.904 0.957
O37 O 0.622 0.728 0.809
O38 O 0.622 0.772 0.309
O39 O 0.662 0.515 0.936
O40 O 0.662 0.985 0.436
O41 O 0.668 0.570 0.066
O42 O 0.668 0.930 0.566
O43 O 0.712 0.186 0.765
O44 O 0.712 0.314 0.265
O45 O 0.793 0.697 0.244
O46 O 0.793 0.803 0.744
O47 O 0.803 0.041 0.062
O48 O 0.803 0.459 0.562
O49 O 0.842 0.008 0.941
O50 O 0.842 0.492 0.441
O51 O 0.848 0.735 0.016
O52 O 0.848 0.765 0.516
O53 O 0.875 0.089 0.539
O54 O 0.875 0.242 0.196
O55 O 0.875 0.258 0.696
O56 O 0.875 0.411 0.039
O57 O 0.906 0.077 0.315
O58 O 0.906 0.423 0.815
O59 O 0.976 0.103 0.818
O60 O 0.976 0.397 0.318

=====

5.
# ScCoSe2 | the Alexandria database | GGA-PBE | optimized geometry
# Energy above the lowest structure with this stoichiometry   0 meV/atom
# Energy relative to the elements, uncorrected   -0.86 eV/atom
# Total magnetic moment   0.3744 μB per atom
data_ScCoSe2
_chemical_formula_sum 'Sc1 Co1 Se2'
_cell_length_a 3.510
_cell_length_b 6.411
_cell_length_c 6.411
_cell_angle_alpha 31.49
_cell_angle_beta 90.00
_cell_angle_gamma 90.00
_space_group_name_H-M_alt 'P 1'
_space_group_IT_number 1
loop_
_space_group_symop_operation_xyz
'x,y,z'
loop_
_atom_site_label
_atom_site_type_symbol
_atom_site_fract_x
_atom_site_fract_y
_atom_site_fract_z
Sc1 Sc 0.000 0.000 0.000
Co1 Co 0.500 0.209 0.209
Se1 Se 0.000 0.669 0.669
Se2 Se 0.500 0.408 0.408

=====

6.
# Pa2Si4MoPt3 | the Alexandria database | GGA-PBE | optimized geometry
# Energy relative to the elements, uncorrected   -0.86 eV/atom
# Total magnetic moment   0.0002 μB per atom
data_Pa2Si4MoPt3
_chemical_formula_sum 'Pa2 Si4 Mo1 Pt3'
_cell_length_a 4.240
_cell_length_b 4.240
_cell_length_c 9.717
_cell_angle_alpha 90.00
_cell_angle_beta 90.00
_cell_angle_gamma 90.00
_space_group_name_H-M_alt 'P 1'
_space_group_IT_number 1
loop_
_space_group_symop_operation_xyz
'x,y,z'
loop_
_atom_site_label
_atom_site_type_symbol
_atom_site_fract_x
_atom_site_fract_y
_atom_site_fract_z
Pa1 Pa 0.000 0.500 0.243
Pa2 Pa 0.500 0.000 0.757
Si1 Si 0.000 0.000 0.500
Si2 Si 0.000 0.500 0.866
Si3 Si 0.500 0.000 0.134
Si4 Si 0.500 0.500 0.500
Mo1 Mo 0.500 0.500 0.000
Pt1 Pt 0.000 0.000 0.000
Pt2 Pt 0.000 0.500 0.620
Pt3 Pt 0.500 0.000 0.380

=====

7.
# KHgGe | the Alexandria database | GGA-PBE | optimized geometry
# Formation energy from the elements   -0.0746 eV per atom
# Energy above the lowest structure with this stoichiometry   98 meV/atom
# Total magnetic moment   0.0000 μB per atom
data_KHgGe
_chemical_formula_sum 'K1 Hg1 Ge1'
_cell_length_a 4.759
_cell_length_b 4.759
_cell_length_c 4.683
_cell_angle_alpha 90.00
_cell_angle_beta 90.00
_cell_angle_gamma 120.00
_space_group_name_H-M_alt 'P 1'
_space_group_IT_number 1
loop_
_space_group_symop_operation_xyz
'x,y,z'
loop_
_atom_site_label
_atom_site_type_symbol
_atom_site_fract_x
_atom_site_fract_y
_atom_site_fract_z
K1 K 0.000 0.000 0.000
Hg1 Hg 0.667 0.333 0.500
Ge1 Ge 0.333 0.667 0.500

=====

8.
# In2AsOsN | the Alexandria database | GGA-PBE | optimized geometry
# Energy above the lowest structure with this stoichiometry   0 meV/atom
# Energy relative to the elements, uncorrected   0.40 eV/atom
# Total magnetic moment   0.0000 μB per atom
data_In2AsOsN
_chemical_formula_sum 'In2 As1 Os1 N1'
_cell_length_a 5.414
_cell_length_b 5.414
_cell_length_c 3.689
_cell_angle_alpha 90.00
_cell_angle_beta 90.00
_cell_angle_gamma 90.00
_space_group_name_H-M_alt 'P 1'
_space_group_IT_number 1
loop_
_space_group_symop_operation_xyz
'x,y,z'
loop_
_atom_site_label
_atom_site_type_symbol
_atom_site_fract_x
_atom_site_fract_y
_atom_site_fract_z
In1 In 0.000 0.500 0.000
In2 In 0.500 0.000 0.000
As1 As 0.000 0.000 0.500
Os1 Os 0.500 0.500 0.000
N1 N 0.500 0.500 0.500

=====

9.
# TbZn5Pd7 | the Alexandria database | GGA-PBE | optimized geometry
# Formation energy from the elements   -0.5547 eV per atom
# Total magnetic moment   0.0000 μB per atom
data_TbZn5Pd7
_chemical_formula_sum 'Tb1 Zn5 Pd7'
_cell_length_a 6.786
_cell_length_b 6.786
_cell_length_c 6.786
_cell_angle_alpha 134.42
_cell_angle_beta 98.46
_cell_angle_gamma 98.79
_space_group_name_H-M_alt 'P 1'
_space_group_IT_number 1
loop_
_space_group_symop_operation_xyz
'x,y,z'
loop_
_atom_site_label
_atom_site_type_symbol
_atom_site_fract_x
_atom_site_fract_y
_atom_site_fract_z
Tb1 Tb 0.000 0.000 0.000
Zn1 Zn 0.488 0.492 0.501
Zn2 Zn 0.488 0.986 0.996
Zn3 Zn 0.761 0.261 0.500
Zn4 Zn 0.991 0.492 0.004
Zn5 Zn 0.991 0.986 0.499
Pd1 Pd 0.189 0.484 0.705
Pd2 Pd 0.216 0.716 0.500
Pd3 Pd 0.336 0.994 0.342
Pd4 Pd 0.337 0.337 0.000
Pd5 Pd 0.651 0.651 0.000
Pd6 Pd 0.653 0.994 0.658
Pd7 Pd 0.778 0.484 0.295

=====

10.
# ErNp2O11 | the Alexandria database | GGA-PBE | optimized geometry
# Energy relative to the elements, uncorrected   -1.95 eV/atom
# Total magnetic moment   0.2203 μB per atom
data_ErNp2O11
_chemical_formula_sum 'Er2 Np4 O22'
_cell_length_a 8.403
_cell_length_b 8.403
_cell_length_c 8.403
_cell_angle_alpha 119.15
_cell_angle_beta 106.68
_cell_angle_gamma 103.06
_space_group_name_H-M_alt 'P 1'
_space_group_IT_number 1
loop_
_space_group_symop_operation_xyz
'x,y,z'
loop_
_atom_site_label
_atom_site_type_symbol
_atom_site_fract_x
_atom_site_fract_y
_atom_site_fract_z
Er1 Er 0.250 0.250 0.000
Er2 Er 0.750 0.750 0.000
Np1 Np 0.230 0.719 0.949
Np2 Np 0.270 0.219 0.488
Np3 Np 0.730 0.781 0.512
Np4 Np 0.770 0.281 0.051
O1 O 0.000 0.500 0.500
O2 O 0.009 0.321 0.078
O3 O 0.029 0.006 0.289
O4 O 0.154 0.456 0.610
O5 O 0.218 0.506 0.977
O6 O 0.243 0.931 0.922
O7 O 0.257 0.179 0.689
O8 O 0.282 0.260 0.289
O9 O 0.346 0.956 0.302
O10 O 0.471 0.760 0.977
O11 O 0.491 0.569 0.311
O12 O 0.500 0.000 0.500
O13 O 0.509 0.431 0.689
O14 O 0.529 0.240 0.023
O15 O 0.654 0.044 0.698
O16 O 0.718 0.740 0.711
O17 O 0.743 0.821 0.311
O18 O 0.757 0.069 0.078
O19 O 0.782 0.494 0.023
O20 O 0.846 0.544 0.390
O21 O 0.971 0.994 0.711
O22 O 0.991 0.679 0.922

=====

11.
# Ga3MoP | the Alexandria database | GGA-PBE | optimized geometry
# Formation energy from the elements   0.8939 eV per atom
# Energy above the lowest structure with this stoichiometry   0 meV/atom
# Total magnetic moment   0.4955 μB per atom
data_Ga3MoP
_chemical_formula_sum 'Ga3 Mo1 P1'
_cell_length_a 4.940
_cell_length_b 4.940
_cell_length_c 4.940
_cell_angle_alpha 90.00
_cell_angle_beta 90.00
_cell_angle_gamma 90.00
_space_group_name_H-M_alt 'P 1'
_space_group_IT_number 1
loop_
_space_group_symop_operation_xyz
'x,y,z'
loop_
_atom_site_label
_atom_site_type_symbol
_atom_site_fract_x
_atom_site_fract_y
_atom_site_fract_z
Ga1 Ga 0.000 0.000 0.500
Ga2 Ga 0.000 0.500 0.000
Ga3 Ga 0.500 0.000 0.000
Mo1 Mo 0.000 0.000 0.000
P1 P 0.500 0.500 0.500

=====

12.
# Hf5Mn4Cu | the Alexandria database | GGA-PBE | optimized geometry
# Formation energy from the elements   -0.1467 eV per atom
# Total magnetic moment   0.2098 μB per atom
data_Hf5Mn4Cu
_chemical_formula_sum 'Hf5 Mn4 Cu1'
_cell_length_a 3.173
_cell_length_b 3.173
_cell_length_c 15.999
_cell_angle_alpha 90.00
_cell_angle_beta 90.00
_cell_angle_gamma 90.00
_space_group_name_H-M_alt 'P 1'
_space_group_IT_number 1
loop_
_space_group_symop_operation_xyz
'x,y,z'
loop_
_atom_site_label
_atom_site_type_symbol
_atom_site_fract_x
_atom_site_fract_y
_atom_site_fract_z
Hf1 Hf 0.000 0.000 0.000
Hf2 Hf 0.000 0.000 0.199
Hf3 Hf 0.000 0.000 0.392
Hf4 Hf 0.000 0.000 0.608
Hf5 Hf 0.000 0.000 0.801
Mn1 Mn 0.500 0.500 0.098
Mn2 Mn 0.500 0.500 0.299
Mn3 Mn 0.500 0.500 0.701
Mn4 Mn 0.500 0.500 0.902
Cu1 Cu 0.500 0.500 0.500